The following is a DFT calculation (PBE) of a relaxed structure of NpNiSb2.

The crystal system is trigonal. The uncorrected formation energy comes out at 0.234 eV per atom.

The space group is R-3m (No. 166, hexagonal axes) and the conventional cell measures 3.2550, 3.2550 and 29.9660 Å, with angles of 90.00, 90.00 and 120.00 degrees. The distinct sites, in fractional coordinates, are Np at (0.0000, 0.0000, 0.0000), Ni at (0.0000, 0.0000, 0.5000) and Sb at (0.0000, 0.0000, 0.1056).